Entry 1:
InAg2GeTe4, optimized geometry, DFT PBE; ΔE_f (raw) = -0.13 eV/atom; N(E_F) = 6.42 states/eV per cell; crystal system = orthorhombic
1.0
9.3349 0.0000 0.0000
0.0000 7.8504 0.0000
0.0000 0.0000 7.4609
In Ag Ge Te
2 4 2 8
Direct
0.0000 0.1582 0.0000
0.5000 0.8418 0.5000
0.2496 0.3208 0.5083
0.2504 0.6792 0.0083
0.7504 0.3208 0.5083
0.7496 0.6792 0.0083
0.0000 0.8294 0.4938
0.5000 0.1706 0.9938
0.0000 0.1625 0.3840
0.0000 0.8213 0.8650
0.2496 0.3369 0.8830
0.2504 0.6631 0.3830
0.5000 0.1787 0.3650
0.5000 0.8375 0.8840
0.7504 0.3369 0.8830
0.7496 0.6631 0.3830


Entry 2:
In2AgGeTe, optimized geometry, DFT PBE; ΔE_f (raw) = 0.43 eV/atom; N(E_F) = 2.74 states/eV per cell; crystal system = tetragonal
1.0
5.3319 0.0000 0.0000
0.0000 5.3319 0.0000
0.0000 0.0000 5.5654
In Ag Ge Te
2 1 1 1
Direct
0.0000 0.5000 0.0000
0.5000 0.0000 0.0000
0.0000 0.0000 0.5000
0.5000 0.5000 0.0000
0.5000 0.5000 0.5000


Entry 3:
TmInAgGe, optimized geometry, DFT PBE; formation energy = -209 meV per atom; N(E_F) = 3.25 states/eV per cell; crystal system = cubic
1.0
0.0000 3.5143 3.5143
3.5143 0.0000 3.5143
3.5143 3.5143 0.0000
Tm In Ag Ge
1 1 1 1
Direct
0.0000 0.0000 0.0000
0.5000 0.5000 0.5000
0.7500 0.7500 0.7500
0.2500 0.2500 0.2500


Entry 4:
YInAgGe, optimized geometry, DFT PBE; formation energy = -245 meV per atom; N(E_F) = 2.58 states/eV per cell; crystal system = cubic
1.0
0.0000 3.5431 3.5431
3.5431 0.0000 3.5431
3.5431 3.5431 0.0000
Y In Ag Ge
1 1 1 1
Direct
0.0000 0.0000 0.0000
0.5000 0.5000 0.5000
0.2500 0.2500 0.2500
0.7500 0.7500 0.7500


Entry 5:
AgGe2Ir2, optimized geometry, DFT PBE; formation energy = -56 meV per atom; energy above the most stable polymorph in this dataset = 31 meV per atom; N(E_F) = 1.02 states/eV per cell; crystal system = tetragonal
1.0
-1.9397 1.9397 5.7048
1.9397 -1.9397 5.7048
1.9397 1.9397 -5.7048
Ag Ge Ir
1 2 2
Direct
0.0000 0.0000 0.0000
0.2500 0.7500 0.5000
0.7500 0.2500 0.5000
0.3850 0.3850 0.0000
0.6150 0.6150 0.0000


Entry 6:
AgGe2Ir2, optimized geometry, DFT PBE; formation energy = -87 meV per atom; energy above the most stable polymorph in this dataset = 0 meV per atom; N(E_F) = 3.58 states/eV per cell; crystal system = tetragonal
1.0
7.4011 0.0000 0.0000
0.0000 7.4011 0.0000
0.0000 0.0000 2.8897
Ag Ge Ir
2 4 4
Direct
0.0000 0.0000 0.0000
0.5000 0.5000 0.0000
0.1542 0.3458 0.5000
0.3458 0.8458 0.5000
0.6542 0.1542 0.5000
0.8458 0.6542 0.5000
0.1425 0.6425 0.0000
0.3575 0.1425 0.0000
0.6425 0.8575 0.0000
0.8575 0.3575 0.0000